Computed, not measured: a relaxed Sm2TmH6 crystal at the GGA-PBE level of DFT.

Cell lengths 5.3861, 5.3861, 5.3861 Å; angles 60.00, 60.00, 60.00 degrees
Atoms (fractional coordinates):
Sm (0.2500, 0.2500, 0.2500)
Sm (0.7500, 0.7500, 0.7500)
Tm (0.0000, 0.0000, 0.0000)
H (0.2741, 0.2741, 0.7259)
H (0.2741, 0.7259, 0.2741)
H (0.2741, 0.7259, 0.7259)
H (0.7259, 0.2741, 0.2741)
H (0.7259, 0.2741, 0.7259)
H (0.7259, 0.7259, 0.2741)

Calculated values
* space-group type: Fm-3m
* raw total energy: -3.982 eV per atom

---

Computed, not measured: a relaxed LuCuAsW crystal at the GGA-PBE level of DFT.

Cell lengths 4.5840, 4.5840, 4.5840 Å; angles 60.00, 60.00, 60.00 degrees
Atoms (fractional coordinates):
Lu (0.0000, 0.0000, 0.0000)
Cu (0.7500, 0.7500, 0.7500)
As (0.5000, 0.5000, 0.5000)
W (0.2500, 0.2500, 0.2500)

Calculated values
* space-group type: F-43m
* raw total energy: -5.984 eV per atom